1.
DFT (PBE) results for a relaxed CsAcTe2O6 crystal.

The structure belongs to space group C2/c (No. 15); the cell edges are 9.343, 11.683 and 8.189 Å and the angles 90.00°, 105.09° and 90.00°. The inequivalent atoms are Cs at (0.000, 0.176, 0.250), Ac at (0.000, 0.431, 0.750), Te at (0.201, 0.113, 0.822), O at (0.091, 0.392, 0.069), O at (0.178, 0.265, 0.739) and O at (0.226, 0.026, 0.637).

=====

2.
DFT (PBE) results for a relaxed Cs2AcTe2O6 crystal.

The structure belongs to space group C2/m (No. 12); the cell edges are 11.447, 6.499 and 9.383 Å and the angles 90.00°, 127.01° and 90.00°. The inequivalent atoms are Cs at (0.232, 0.000, 0.291), Ac at (0.000, 0.000, 0.500), Te at (0.020, 0.500, 0.195), O at (0.003, 0.283, 0.323) and O at (0.227, 0.500, 0.324).

=====

3.
DFT (PBE) results for a relaxed Cs3AcTe2O8 crystal.

The structure belongs to space group P-3m1 (No. 164); the cell edges are 6.7422, 6.7422 and 8.7968 Å and the angles 90.00°, 90.00° and 120.00°. The inequivalent atoms are Cs at (0.0000, 0.0000, 0.0000), Cs at (0.3333, 0.6667, 0.7611), Ac at (0.0000, 0.0000, 0.5000), Te at (0.3333, 0.6667, 0.2872), O at (0.1671, 0.3342, 0.3229) and O at (0.3333, 0.6667, 0.0769).

=====

4.
DFT (PBE) results for a relaxed CsAcTeO crystal.

The structure belongs to space group R3m (No. 160, hexagonal axes); the cell edges are 4.1811, 4.1811 and 26.5048 Å and the angles 90.00°, 90.00° and 120.00°. The inequivalent atoms are Cs at (0.0000, 0.0000, 0.0000), Ac at (0.0000, 0.0000, 0.1474), Te at (0.0000, 0.0000, 0.5679) and O at (0.0000, 0.0000, 0.4441).

=====

5.
DFT (PBE) results for a relaxed Cs4Ac3ThO8 crystal.

The structure belongs to space group R-3m (No. 166, hexagonal axes); the cell edges are 7.7776, 7.7776 and 21.1151 Å and the angles 90.00°, 90.00° and 120.00°. The inequivalent atoms are Cs at (0.0000, 0.0000, 0.0000), Cs at (0.0000, 0.5000, 0.0000), Ac at (0.0000, 0.5000, 0.5000), Th at (0.0000, 0.0000, 0.5000), O at (0.0000, 0.0000, 0.2198) and O at (0.0236, 0.5118, 0.2207).

=====

6.
DFT (PBE) results for a relaxed Cs3Ac2ThO6 crystal.

The structure belongs to space group C2/m (No. 12); the cell edges are 6.710, 11.626 and 7.418 Å and the angles 90.00°, 107.61° and 90.00°. The inequivalent atoms are Cs at (0.000, 0.000, 0.000), Cs at (0.000, 0.334, 0.000), Ac at (0.000, 0.167, 0.500), Th at (0.000, 0.500, 0.500), O at (0.209, 0.344, 0.658) and O at (0.242, 0.000, 0.659).

=====

Number 1: raw formation energy -1.853 eV per atom. Number 2: raw formation energy -1.724 eV per atom. Number 3: raw formation energy -1.639 eV per atom. Number 4: raw formation energy -1.735 eV per atom. Number 5: raw formation energy -2.530 eV per atom. Number 6: raw formation energy -2.540 eV per atom.